Entry 1:
The following is a DFT calculation (PBE-GGA) of an optimized crystal structure of La2B3Pt12Au.

Structure (POSCAR):
```
La2B3Pt12Au
1.0
-4.6161 -3.2410 -5.0010
3.2712 -2.8245 -6.1761
0.3341 -7.5188 -0.4228
Pt La B Au
12 2 3 1
Cartesian
-2.6057 -7.5139 -4.2034
1.4310 -3.0703 -4.4161
-1.0418 -8.2764 -9.9262
1.3178 -10.3154 -7.7439
-2.4418 -10.5140 -7.1838
-3.0418 -6.3152 -6.7056
-0.8791 -4.7543 -7.5856
-2.3286 -3.2689 -3.8559
0.0310 -5.3079 -1.6736
2.0310 -7.2690 -4.8942
-0.1318 -8.8300 -4.0143
1.5949 -6.0704 -7.3964
-0.3984 -5.3539 -4.5718
-0.6124 -8.2304 -7.0280
1.6356 -1.4123 -3.0880
0.1670 -3.7594 -0.2114
-2.3080 -1.6205 -2.5005
0.0000 0.0000 0.0000
```

SG: R-3m, No. 166
energy relative to the elements: -0.3575 eV per atom
total moment: 0.00 μB/f.u.

Entry 2:
The following is a DFT calculation (PBE-GGA) of an optimized crystal structure of VGeTeN2.

Structure (POSCAR):
```
VGeTeN2
1.0
3.8865 0.0000 0.0000
0.0000 3.8865 0.0000
0.0000 0.0000 5.4824
Ge N V Te
1 2 1 1
Cartesian
1.9433 1.9433 2.7412
1.9433 0.0000 0.0000
0.0000 1.9433 0.0000
0.0000 0.0000 0.0000
0.0000 0.0000 2.7412
```

polymorph energy (0 for the lowest one): 0 meV per atom
raw formation energy: 49 kJ/mol of atoms
SG: P4/mmm, No. 123
total moment: 0.00 μB/f.u.

Entry 3:
The following is a DFT calculation (PBE-GGA) of an optimized crystal structure of BaZr2W.

Structure (POSCAR):
```
BaZr2W
1.0
-0.5005 -4.4414 3.6502
3.1682 -4.6081 -1.4242
1.0540 5.6442 0.5766
W Ba Zr
1 1 2
Cartesian
0.9436 -1.6610 2.6699
1.3338 -4.5248 1.1130
0.0000 0.0000 0.0000
2.7780 -1.7443 0.1327
```

polymorph energy (0 for the lowest one): 702 meV per atom
SG: I-4m2, No. 119
energy relative to the elements: 1.0429 eV per atom
total moment: 0.00 μB/f.u.

In eV per atom, the total energy values for the records above are, in order, -6.227 -6.193 -6.950.